Record 1
The following is a GGA-PBE calculation of an optimized crystal structure of Mg2NiCl, from the Alexandria database.

Structure (extended XYZ):
```
8
Lattice="-4.013 -1.292 5.346 -3.229 -4.803 -3.584 -1.345 -5.424 2.015" Properties=species:S:1:pos:R:3 pbc="T T T"
Cl -4.098 -6.638 -0.344
Mg -2.838 -4.514 -1.093
Mg -3.710 -6.332 2.188
Mg -7.360 -9.424 3.036
Ni -4.489 -4.882 4.121
Ni 0.000 0.000 0.000
Cl -3.621 -3.048 0.881
Mg -3.266 -2.770 3.422
```

Results
**Density of states at the Fermi level**: 0.447 states/eV per atom
**Calculated total energy**: -23.0 eV for the cell shown
**Formation energy (no corrections)**: -0.67 eV per formula unit
**Symmetry**: I-42d, No. 122
**Magnetic moment**: 0.0 Bohr magnetons per cell


Record 2
The following is a GGA-PBE calculation of an optimized crystal structure of Mg2NiCl, from the Alexandria database.

Structure (extended XYZ):
```
4
Lattice="0.000 3.315 3.315 3.315 0.000 3.315 3.315 3.315 0.000" Properties=species:S:1:pos:R:3 pbc="T T T"
Ni 3.315 3.315 3.315
Mg 1.658 1.658 1.658
Cl 0.000 0.000 0.000
Mg 4.973 4.973 4.973
```

Results
**Density of states at the Fermi level**: 0.386 states/eV per atom
**Calculated total energy**: -10.9 eV for the cell shown
**Formation energy (no corrections)**: -0.07 eV per formula unit
**Symmetry**: Fm-3m, No. 225
**Magnetic moment**: 0.0 Bohr magnetons per cell


Record 3
The following is a GGA-PBE calculation of an optimized crystal structure of MgNiCl4, from the Alexandria database.

Structure (extended XYZ):
```
6
Lattice="0.000 4.124 4.124 4.124 0.000 4.124 4.124 4.124 0.000" Properties=species:S:1:pos:R:3 pbc="T T T"
Ni 0.000 0.000 0.000
Cl 3.093 3.093 3.093
Cl 5.154 5.154 3.093
Mg 6.185 6.185 6.185
Cl 5.154 3.093 5.154
Cl 3.093 5.154 5.154
```

Results
**Density of states at the Fermi level**: 1.509 states/eV per atom
**Calculated total energy**: -11.1 eV for the cell shown
**Formation energy (no corrections)**: 3.61 eV per formula unit
**Symmetry**: F-43m, No. 216
**Magnetic moment**: 2.6 Bohr magnetons per cell